# 1
Computed, not measured: a relaxed structure of La4SbPb at the PBE level of DFT.

Calculated values
- total magnetization (Bohr magnetons per cell) = 0.00
- E (eV per atom) = -5.19
- SG = C2/c
- energy relative to the elements, uncorrected (eV per atom) = -0.604
- polymorph energy (0 for the lowest one) (eV/atom) = 0.000

a = 6.707 Å, b = 8.644 Å, c = 8.666 Å
α = 113.22°, β = 104.62°, γ = 105.65°
Fractional coordinates of all 12 atoms:
La (0.034, 0.242, 0.841)
La (0.776, 0.691, 0.618)
La (0.307, 0.599, 0.841)
La (0.342, 0.927, 0.618)
La (0.658, 0.073, 0.382)
La (0.693, 0.401, 0.159)
La (0.224, 0.309, 0.382)
La (0.966, 0.758, 0.159)
Sb (0.373, 0.623, 0.246)
Sb (0.627, 0.377, 0.754)
Pb (0.252, 0.002, 0.005)
Pb (0.748, 0.998, 0.995)

# 2
Computed, not measured: a relaxed structure of LaSb2Pb at the PBE level of DFT.

Calculated values
- total magnetization (Bohr magnetons per cell) = 0.00
- E (eV per atom) = -4.79
- SG = Cm
- energy relative to the elements, uncorrected (eV per atom) = -0.574

a = 6.348 Å, b = 6.348 Å, c = 4.786 Å
α = 79.36°, β = 79.36°, γ = 41.86°
Fractional coordinates of all 4 atoms:
Pb (0.252, 0.252, 0.185)
Sb (0.003, 0.003, 0.085)
Sb (0.762, 0.762, 0.638)
La (0.482, 0.482, 0.592)

# 3
Computed, not measured: a relaxed structure of La10Sb3Pb3 at the PBE level of DFT.

Calculated values
- total magnetization (Bohr magnetons per cell) = 0.75
- E (eV per atom) = -5.33
- SG = P-62m
- energy relative to the elements, uncorrected (eV per atom) = -0.783

a = 6.796 Å, b = 9.611 Å, c = 9.611 Å
α = 120.00°, β = 90.00°, γ = 90.00°
Fractional coordinates of all 16 atoms:
La (0.238, 0.667, 0.333)
La (0.238, 0.333, 0.667)
La (0.762, 0.333, 0.667)
La (0.762, 0.667, 0.333)
La (0.500, 0.000, 0.748)
La (0.500, 0.748, 0.000)
La (0.500, 0.252, 0.252)
La (0.000, 0.000, 0.249)
La (0.000, 0.249, 0.000)
La (0.000, 0.751, 0.751)
Sb (0.000, 0.000, 0.616)
Sb (0.000, 0.616, 0.000)
Sb (0.000, 0.384, 0.384)
Pb (0.500, 0.000, 0.387)
Pb (0.500, 0.387, 0.000)
Pb (0.500, 0.613, 0.613)

# 4
Computed, not measured: a relaxed structure of LaSb2Pb at the PBE level of DFT.

Calculated values
- total magnetization (Bohr magnetons per cell) = 0.00
- E (eV per atom) = -4.69
- SG = R3m
- energy relative to the elements, uncorrected (eV per atom) = -0.467

a = 4.917 Å, b = 4.917 Å, c = 7.276 Å
α = 70.25°, β = 70.25°, γ = 60.00°
Fractional coordinates of all 4 atoms:
La (0.668, 0.668, 0.995)
Sb (0.086, 0.086, 0.741)
Sb (0.253, 0.253, 0.240)
Pb (0.492, 0.492, 0.524)